First-principles (PBE-GGA) data for crystalline Y2NiIr2 at its relaxed geometry, as listed in Alexandria.

Unit cell a=5.467 b=5.467 c=7.886 alpha=102.85 beta=102.85 gamma=59.15
Element x y z (fractional)
Y1 0.010 0.287 0.151
Y2 0.287 0.010 0.651
Y3 0.713 0.990 0.349
Y4 0.990 0.713 0.849
Ni1 0.352 0.648 0.250
Ni2 0.648 0.352 0.750
Ir1 0.237 0.501 0.496
Ir2 0.499 0.763 0.004
Ir3 0.501 0.237 0.996
Ir4 0.763 0.499 0.504

Computed properties:
Space-group type: C2/c (15)
D(E_F) (states/eV per atom): 0.94
Energy relative to the elements (kJ per mole of atoms): -60.98


First-principles (PBE-GGA) data for crystalline LiCaHoBr6 at its relaxed geometry, as listed in Alexandria.

Unit cell a=7.171 b=7.171 c=12.725 alpha=90.00 beta=90.00 gamma=120.00
Element x y z (fractional)
Li1 0.000 0.000 0.000
Li2 0.000 0.000 0.500
Ca1 0.333 0.667 0.250
Ca2 0.667 0.333 0.750
Ho1 0.333 0.667 0.750
Ho2 0.667 0.333 0.250
Br1 0.012 0.344 0.625
Br2 0.012 0.668 0.875
Br3 0.332 0.344 0.875
Br4 0.332 0.988 0.625
Br5 0.344 0.012 0.125
Br6 0.344 0.332 0.375
Br7 0.656 0.668 0.625
Br8 0.656 0.988 0.875
Br9 0.668 0.012 0.375
Br10 0.668 0.656 0.125
Br11 0.988 0.332 0.125
Br12 0.988 0.656 0.375

Computed properties:
Space-group type: P-31c (163)
D(E_F) (states/eV per atom): 0.00
Formation energy (no corrections) (meV per atom): -1823


First-principles (PBE-GGA) data for crystalline La2ZnPt2 at its relaxed geometry, as listed in Alexandria.

Unit cell a=8.380 b=8.380 c=8.380 alpha=152.19 beta=152.19 gamma=39.74
Element x y z (fractional)
La1 0.114 0.114 0.000
La2 0.886 0.886 0.000
Zn1 0.500 0.500 0.000
Pt1 0.250 0.750 0.500
Pt2 0.750 0.250 0.500

Computed properties:
Space-group type: I4/mmm (139)
D(E_F) (states/eV per atom): 0.50
Energy relative to the elements (kJ per mole of atoms): -61.17


First-principles (PBE-GGA) data for crystalline Pr6Sm3DyEr2 at its relaxed geometry, as listed in Alexandria.

Unit cell a=6.333 b=6.333 c=11.966 alpha=95.05 beta=95.05 gamma=120.01
Element x y z (fractional)
Pr1 0.084 0.417 0.753
Pr2 0.249 0.249 0.247
Pr3 0.417 0.084 0.753
Pr4 0.583 0.916 0.247
Pr5 0.751 0.751 0.753
Pr6 0.916 0.583 0.247
Sm1 0.000 0.000 0.500
Sm2 0.333 0.667 0.500
Sm3 0.667 0.333 0.500
Dy1 0.500 0.500 0.000
Er1 0.167 0.833 0.000
Er2 0.833 0.167 0.000

Computed properties:
Space-group type: C2/m (12)
D(E_F) (states/eV per atom): 1.19
Energy relative to the elements (kJ per mole of atoms): 1.25


First-principles (PBE-GGA) data for crystalline CrCoGe2Pt at its relaxed geometry, as listed in Alexandria.

Unit cell a=4.548 b=4.548 c=4.181 alpha=90.00 beta=90.00 gamma=90.00
Element x y z (fractional)
Cr1 0.000 0.000 0.000
Co1 0.000 0.000 0.500
Ge1 0.000 0.500 0.000
Ge2 0.500 0.000 0.000
Pt1 0.500 0.500 0.500

Computed properties:
Space-group type: P4/mmm (123)
D(E_F) (states/eV per atom): 1.14
Energy relative to the elements (kJ per mole of atoms): 78.24
Energy relative to the lowest polymorph listed for this composition (meV/atom): 0


First-principles (PBE-GGA) data for crystalline Ag7BrO2F at its relaxed geometry, as listed in Alexandria.

Unit cell a=9.774 b=9.774 c=9.774 alpha=152.77 beta=152.77 gamma=38.88
Element x y z (fractional)
Ag1 0.000 0.000 0.000
Ag2 0.110 0.610 0.500
Ag3 0.262 0.262 0.000
Ag4 0.390 0.890 0.500
Ag5 0.640 0.140 0.500
Ag6 0.738 0.738 0.000
Ag7 0.860 0.360 0.500
Br1 0.500 0.500 0.000
O1 0.124 0.124 0.000
O2 0.876 0.876 0.000
F1 0.250 0.750 0.500

Computed properties:
Space-group type: I-4m2 (119)
D(E_F) (states/eV per atom): 0.21
Formation energy (no corrections) (meV per atom): -165


How do the records compare in volume? In the order shown, they have 19.559; 31.484; 25.566; 34.089; 17.300; 17.738 Å³ per atom.